Density functional theory data (PBE) for Nd2SeS after structural relaxation.

Values from the calculation:
Final energy, eV per cell: -74.8
ΔE_f (raw), kJ per mole of atoms: -187.4
Size of the total moment, Bohr magnetons per cell: 0.0

a = 4.1438 Å, b = 4.1438 Å, c = 20.4531 Å
α = 90.00°, β = 90.00°, γ = 120.00°
Space group R-3m (No. 166, hexagonal axes)
Inequivalent atoms, fractional coordinates:
Nd 0.0000 0.0000 0.2422 (multiplicity 6)
Se 0.0000 0.0000 0.0000 (multiplicity 3)
S 0.0000 0.0000 0.5000 (multiplicity 3)